VASP calculation (PBEsol) on crystalline SrCa2Mo at its relaxed geometry.

a = 3.711 Å, b = 3.711 Å, c = 9.440 Å
α = 90.00°, β = 90.00°, γ = 90.00°
Element x y z (fractional)
Sr (0.500, 0.500, 0.691)
Mo (0.000, 0.000, 0.482)
Ca (0.000, 0.000, 0.019)
Ca (0.500, 0.500, 0.308)

The value obtained for the theoretical density is 3.368 Mg/m³. As for the energy relative to the elements: 0.746 eV/atom. As for the total DFT energy (no corrections): -3.723 eV/atom. The total moment is 2.57 μB per formula unit. For the energy above the most stable polymorph in this dataset, the calculation gives 0.85 kcal/mol of atoms.